[1]
{"formula": "Re2AsOs", "functional": "PBE", "state": "relaxed", "lattice_angstrom": [[-1.472, 2.225, 4.476], [1.472, -2.225, 4.476], [1.472, 2.225, -4.476]], "species": ["Re", "Re", "As", "Os"], "frac_coords": [[0.000, 0.000, 0.000], [0.724, 0.224, 0.500], [0.499, 0.499, 0.000], [0.278, 0.778, 0.500]], "crystal_system": "orthorhombic", "formation_enthalpy_0k_ev_per_atom": 0.293}

[2]
{"formula": "ReAs2Os", "functional": "PBE", "state": "relaxed", "lattice_angstrom": [[4.007, -1.490, 0.000], [4.007, 1.490, 0.000], [-1.097, 0.000, 5.070]], "species": ["Re", "As", "As", "Os"], "frac_coords": [[0.000, 0.000, 0.000], [0.251, 0.251, 0.753], [0.749, 0.749, 0.247], [0.500, 0.500, 0.500]], "crystal_system": "monoclinic", "formation_enthalpy_0k_ev_per_atom": 0.382}

[3]
{"formula": "ReAs3Os", "functional": "PBE", "state": "relaxed", "lattice_angstrom": [[4.749, 0.000, 0.000], [0.000, 4.749, 0.000], [0.000, 0.000, 4.749]], "species": ["Re", "As", "As", "As", "Os"], "frac_coords": [[0.000, 0.000, 0.000], [0.000, 0.000, 0.500], [0.000, 0.500, 0.000], [0.500, 0.000, 0.000], [0.500, 0.500, 0.500]], "crystal_system": "cubic", "formation_enthalpy_0k_ev_per_atom": 1.475}

[4]
{"formula": "ReAs2Os", "functional": "PBE", "state": "relaxed", "lattice_angstrom": [[0.000, 3.087, 3.087], [3.087, 0.000, 3.087], [3.087, 3.087, 0.000]], "species": ["Re", "As", "As", "Os"], "frac_coords": [[0.000, 0.000, 0.000], [0.250, 0.250, 0.250], [0.750, 0.750, 0.750], [0.500, 0.500, 0.500]], "crystal_system": "cubic", "formation_enthalpy_0k_ev_per_atom": 0.354}

[5]
{"formula": "Re2AsOs", "functional": "PBE", "state": "relaxed", "lattice_angstrom": [[4.633, -1.440, 0.000], [4.633, 1.440, 0.000], [-0.327, 0.000, 4.548]], "species": ["Re", "Re", "As", "Os"], "frac_coords": [[0.229, 0.229, 0.237], [0.771, 0.771, 0.763], [0.000, 0.000, 0.500], [0.500, 0.500, 0.000]], "crystal_system": "monoclinic", "formation_enthalpy_0k_ev_per_atom": 0.347}

[6]
{"formula": "Re2AsOs", "functional": "PBE", "state": "relaxed", "lattice_angstrom": [[2.973, 0.000, 0.000], [0.000, 4.485, 0.000], [0.000, 0.000, 4.510]], "species": ["Re", "Re", "As", "Os"], "frac_coords": [[0.000, 0.000, 0.000], [0.500, 0.500, 0.000], [0.000, 0.500, 0.500], [0.500, 0.000, 0.500]], "crystal_system": "orthorhombic", "formation_enthalpy_0k_ev_per_atom": 0.495}

[7]
{"formula": "ReAs2Os", "functional": "PBE", "state": "relaxed", "lattice_angstrom": [[1.456, 0.841, 10.110], [-1.456, 0.841, 10.110], [0.000, -1.681, 10.110]], "species": ["Re", "As", "As", "Os"], "frac_coords": [[0.000, 0.000, 0.000], [0.531, 0.531, 0.531], [0.731, 0.731, 0.731], [0.260, 0.260, 0.260]], "crystal_system": "trigonal", "formation_enthalpy_0k_ev_per_atom": 0.174}

[8]
{"formula": "Re2AsOs", "functional": "PBE", "state": "relaxed", "lattice_angstrom": [[2.926, 0.000, 0.000], [0.000, 2.926, 0.000], [0.000, 0.000, 6.850]], "species": ["Re", "Re", "As", "Os"], "frac_coords": [[0.000, 0.000, 0.000], [0.500, 0.500, 0.263], [0.000, 0.000, 0.498], [0.500, 0.500, 0.734]], "crystal_system": "tetragonal", "formation_enthalpy_0k_ev_per_atom": 0.214}

[9]
{"formula": "Re2AsOs", "functional": "PBE", "state": "relaxed", "lattice_angstrom": [[1.414, 0.816, 8.568], [-1.414, 0.816, 8.568], [0.000, -1.632, 8.568]], "species": ["Re", "Re", "As", "Os"], "frac_coords": [[0.249, 0.249, 0.249], [0.751, 0.751, 0.751], [0.500, 0.500, 0.500], [0.000, 0.000, 0.000]], "crystal_system": "trigonal", "formation_enthalpy_0k_ev_per_atom": 0.231}

[10]
{"formula": "ReAsOs4", "functional": "PBE", "state": "relaxed", "lattice_angstrom": [[0.000, 3.642, 3.642], [3.642, 0.000, 3.642], [3.642, 3.642, 0.000]], "species": ["Re", "As", "Os", "Os", "Os", "Os"], "frac_coords": [[0.000, 0.000, 0.000], [0.750, 0.750, 0.750], [0.375, 0.375, 0.375], [0.375, 0.375, 0.876], [0.375, 0.876, 0.375], [0.876, 0.375, 0.375]], "crystal_system": "cubic", "formation_enthalpy_0k_ev_per_atom": 1.034}

[11]
{"formula": "ReAs2Os", "functional": "PBE", "state": "relaxed", "lattice_angstrom": [[1.406, -2.498, 0.000], [1.406, 2.498, 0.000], [0.000, 0.000, 10.197]], "species": ["Re", "As", "As", "Os"], "frac_coords": [[0.000, 0.000, 0.000], [0.000, 0.000, 0.429], [0.500, 0.500, 0.784], [0.500, 0.500, 0.217]], "crystal_system": "orthorhombic", "formation_enthalpy_0k_ev_per_atom": 0.456}

[12]
{"formula": "ReAs2Os", "functional": "PBE", "state": "relaxed", "lattice_angstrom": [[1.493, 0.862, 7.854], [-1.493, 0.862, 7.854], [0.000, -1.723, 7.854]], "species": ["Re", "As", "As", "Os"], "frac_coords": [[0.000, 0.000, 0.000], [0.250, 0.250, 0.250], [0.750, 0.750, 0.750], [0.500, 0.500, 0.500]], "crystal_system": "trigonal", "formation_enthalpy_0k_ev_per_atom": 0.381}

[13]
{"formula": "ReAs2Os", "functional": "PBE", "state": "relaxed", "lattice_angstrom": [[2.976, 0.000, 0.000], [0.000, 4.108, 0.000], [0.000, 0.000, 5.199]], "species": ["Re", "As", "As", "Os"], "frac_coords": [[0.000, 0.000, 0.000], [0.000, 0.500, 0.500], [0.500, 0.500, 0.000], [0.500, 0.000, 0.500]], "crystal_system": "orthorhombic", "formation_enthalpy_0k_ev_per_atom": 0.734}

[14]
{"formula": "ReAsOs2", "functional": "PBE", "state": "relaxed", "lattice_angstrom": [[0.000, 3.102, 3.102], [3.102, 0.000, 3.102], [3.102, 3.102, 0.000]], "species": ["Re", "As", "Os", "Os"], "frac_coords": [[0.000, 0.000, 0.000], [0.750, 0.750, 0.750], [0.250, 0.250, 0.250], [0.500, 0.500, 0.500]], "crystal_system": "cubic", "formation_enthalpy_0k_ev_per_atom": 0.591}

[15]
{"formula": "ReAsOs2", "functional": "PBE", "state": "relaxed", "lattice_angstrom": [[1.382, -2.387, 0.000], [1.382, 2.387, 0.000], [0.000, 0.000, 9.466]], "species": ["Re", "As", "Os", "Os"], "frac_coords": [[0.000, 0.000, 0.000], [0.500, 0.500, 0.273], [0.000, 0.000, 0.522], [0.500, 0.500, 0.764]], "crystal_system": "orthorhombic", "formation_enthalpy_0k_ev_per_atom": 0.734}

[16]
{"formula": "ReAsOsS2", "functional": "PBE", "state": "relaxed", "lattice_angstrom": [[4.426, 0.000, 0.000], [0.000, 4.426, 0.000], [0.000, 0.000, 5.338]], "species": ["Re", "As", "Os", "S", "S"], "frac_coords": [[0.000, 0.000, 0.000], [0.000, 0.000, 0.500], [0.500, 0.500, 0.500], [0.000, 0.500, 0.000], [0.500, 0.000, 0.000]], "crystal_system": "tetragonal"}

[17]
{"formula": "ReAsOsSe2", "functional": "PBE", "state": "relaxed", "lattice_angstrom": [[4.953, 0.000, 0.000], [0.000, 4.953, 0.000], [0.000, 0.000, 4.637]], "species": ["Re", "As", "Os", "Se", "Se"], "frac_coords": [[0.000, 0.000, 0.000], [0.500, 0.500, 0.000], [0.500, 0.500, 0.500], [0.000, 0.500, 0.500], [0.500, 0.000, 0.500]], "crystal_system": "tetragonal"}

[18]
{"formula": "ReAsOsSe2", "functional": "PBE", "state": "relaxed", "lattice_angstrom": [[4.756, 0.000, 0.000], [0.000, 4.756, 0.000], [0.000, 0.000, 4.790]], "species": ["Re", "As", "Os", "Se", "Se"], "frac_coords": [[0.000, 0.000, 0.000], [0.000, 0.000, 0.500], [0.500, 0.500, 0.500], [0.000, 0.500, 0.000], [0.500, 0.000, 0.000]], "crystal_system": "tetragonal"}

[19]
{"formula": "ReAs2OsW", "functional": "PBE", "state": "relaxed", "lattice_angstrom": [[4.643, 0.000, 0.000], [0.000, 4.643, 0.000], [0.000, 0.000, 4.787]], "species": ["Re", "As", "As", "Os", "W"], "frac_coords": [[0.000, 0.000, 0.000], [0.000, 0.500, 0.000], [0.500, 0.000, 0.000], [0.000, 0.000, 0.500], [0.500, 0.500, 0.500]], "crystal_system": "tetragonal", "formation_enthalpy_0k_ev_per_atom": 1.857}

[20]
{"formula": "As2OsRh", "functional": "PBE", "state": "relaxed", "lattice_angstrom": [[1.511, 0.873, 7.728], [-1.511, 0.873, 7.728], [0.000, -1.745, 7.728]], "species": ["As", "As", "Os", "Rh"], "frac_coords": [[0.249, 0.249, 0.249], [0.751, 0.751, 0.751], [0.500, 0.500, 0.500], [0.000, 0.000, 0.000]], "crystal_system": "trigonal", "formation_enthalpy_0k_ev_per_atom": 0.041}

no.,VASP energy (eV for the cell shown)
1,-39.60
2,-31.45
3,-30.25
4,-31.56
5,-39.39
6,-38.80
7,-32.28
8,-39.92
9,-39.85
10,-55.81
11,-31.15
12,-31.45
13,-30.04
14,-37.19
15,-36.62
16,-29.87
17,-27.54
18,-27.48
19,-36.64
20,-27.71